The following is a DFT calculation (PBE-GGA) of a geometry-optimized Tm2Sc2I5N structure.

Values from the calculation:
- Size of the total moment: 0.000 μB/cell
- Space group: No. 12

Structure (POSCAR):
```
Tm2Sc2I5N
1.0
9.9921 -1.8990 0.0000
9.9921 1.8990 0.0000
-1.7009 0.0000 8.1571
Tm Sc I N
2 2 5 1
Cartesian
-0.3185 0.0000 1.5276
-1.3824 0.0000 6.6295
6.1713 0.0000 7.7146
12.1120 0.0000 0.4425
2.5206 0.0000 2.6189
1.6629 0.0000 6.7643
9.1417 0.0000 4.0786
16.6205 0.0000 1.3928
15.7628 0.0000 5.5382
9.9921 0.0000 0.0000
```


The following is a DFT calculation (PBE-GGA) of a geometry-optimized LiFeGeAs structure.

Values from the calculation:
- Size of the total moment: 2.032 μB/cell
- Energy above the most stable polymorph in this dataset: 0.300 eV per atom
- Space group: No. 216

Structure (POSCAR):
```
LiFeGeAs
1.0
0.0000 3.1377 3.1377
3.1377 0.0000 3.1377
3.1377 3.1377 0.0000
Li Fe Ge As
1 1 1 1
Cartesian
0.0000 0.0000 0.0000
1.5689 1.5689 1.5689
3.1377 3.1377 3.1377
4.7066 4.7066 4.7066
```


The following is a DFT calculation (PBE-GGA) of a geometry-optimized HgBr2 structure.

Values from the calculation:
- Space group: No. 136

Structure (POSCAR):
```
HgBr2
1.0
6.8041 0.0000 0.0000
0.0000 6.8041 0.0000
0.0000 0.0000 4.1574
Hg Br
2 4
Cartesian
0.0000 0.0000 0.0000
3.4021 3.4021 2.0787
1.3180 1.3180 2.0787
2.0841 4.7200 0.0000
4.7200 2.0841 0.0000
5.4862 5.4862 2.0787
```


The following is a DFT calculation (PBE-GGA) of a geometry-optimized LiDyFeTe3 structure.

Values from the calculation:
- Size of the total moment: 14.112 μB/cell
- Energy above the most stable polymorph in this dataset: 0.000 eV per atom
- Space group: No. 62

Structure (POSCAR):
```
LiDyFeTe3
1.0
13.9536 0.0000 0.0000
0.0000 4.0996 0.0000
0.0000 0.0000 11.5991
Li Dy Fe Te
4 4 4 12
Cartesian
2.9881 1.0249 0.9065
3.9887 3.0747 6.7061
9.9649 1.0249 4.8931
10.9655 3.0747 10.6926
0.0255 1.0249 3.9214
6.9513 3.0747 9.7210
7.0023 1.0249 1.8781
13.9280 3.0747 7.6777
0.0761 3.0747 0.8385
6.9007 1.0249 6.6381
7.0528 3.0747 4.9610
13.8775 1.0249 10.7606
1.6221 3.0747 10.3164
1.8262 1.0249 6.4179
1.9210 3.0747 2.7281
5.0558 1.0249 8.5276
5.1506 3.0747 0.6183
5.3546 1.0249 4.5169
8.5989 3.0747 7.0822
8.8029 1.0249 10.9808
8.8977 3.0747 3.0715
12.0326 1.0249 8.8711
12.1274 3.0747 5.1812
12.3314 1.0249 1.2827
```


The following is a DFT calculation (PBE-GGA) of a geometry-optimized ScCdGe2 structure.

Values from the calculation:
- Size of the total moment: 0.014 μB/cell
- Space group: No. 216

Structure (POSCAR):
```
ScCdGe2
1.0
0.0000 3.4522 3.4522
3.4522 0.0000 3.4522
3.4522 3.4522 0.0000
Sc Cd Ge
1 1 2
Cartesian
0.0000 0.0000 0.0000
1.7261 1.7261 1.7261
3.4522 3.4522 3.4522
5.1783 5.1783 5.1783
```


The following is a DFT calculation (PBE-GGA) of a geometry-optimized HfMgAl structure.

Values from the calculation:
- Size of the total moment: 0.035 μB/cell
- Space group: No. 216

Structure (POSCAR):
```
HfMgAl
1.0
0.0000 3.2461 3.2461
3.2461 0.0000 3.2461
3.2461 3.2461 0.0000
Hf Mg Al
1 1 1
Cartesian
0.0000 0.0000 0.0000
3.2461 3.2461 3.2461
1.6231 1.6231 1.6231
```


The following is a DFT calculation (PBE-GGA) of a geometry-optimized La2Mo3Ir2 structure.

Values from the calculation:
- Size of the total moment: 0.030 μB/cell
- Space group: No. 160
- Formation enthalpy at 0 K: 0.03 eV/atom

Structure (POSCAR):
```
La2Mo3Ir2
1.0
2.2377 1.2919 8.4077
-2.2377 1.2919 8.4077
0.0000 -2.5839 8.4077
La Mo Ir
2 3 2
Cartesian
0.0000 0.0000 0.0000
0.0000 0.0000 11.0146
0.0000 0.0000 7.0424
0.0000 0.0000 14.5309
0.0000 0.0000 21.8930
0.0000 0.0000 4.4991
0.0000 0.0000 17.4051
```


The following is a DFT calculation (PBE-GGA) of a geometry-optimized CoNiPbSe3 structure.

Values from the calculation:
- Size of the total moment: 0.027 μB/cell
- Energy above the most stable polymorph in this dataset: 0.014 eV per atom
- Space group: No. 63

Structure (POSCAR):
```
CoNiPbSe3
1.0
1.7741 -6.6356 0.0000
1.7741 6.6356 0.0000
0.0000 0.0000 10.2218
Co Ni Pb Se
2 2 2 6
Cartesian
1.7741 5.0714 7.6664
1.7741 -5.0714 2.5555
1.7741 0.0000 0.0000
1.7741 0.0000 5.1109
1.7741 3.6814 2.5555
1.7741 -3.6814 7.6664
1.7741 5.0446 5.3313
1.7741 5.0446 10.0015
1.7741 0.0423 2.5555
1.7741 -0.0423 7.6664
1.7741 -5.0446 0.2204
1.7741 -5.0446 4.8906
```


The following is a DFT calculation (PBE-GGA) of a geometry-optimized PrNdO4 structure.

Values from the calculation:
- Size of the total moment: 0.001 μB/cell
- Space group: No. 8

Structure (POSCAR):
```
PrNdO4
1.0
3.3912 -1.9938 0.0000
3.3912 1.9938 0.0000
-0.8680 0.0000 6.4214
Pr Nd O
1 1 4
Cartesian
0.0000 0.0000 0.0000
2.2500 0.0000 2.9734
-0.0244 0.0000 2.4179
2.2781 0.0000 0.5859
3.4907 0.0000 5.1333
4.6874 0.0000 4.2356
```


The following is a DFT calculation (PBE-GGA) of a geometry-optimized Sm2Dy2CI4Cl structure.

Values from the calculation:
- Size of the total moment: 0.015 μB/cell
- Energy above the most stable polymorph in this dataset: 0.000 eV per atom
- Space group: No. 12

Structure (POSCAR):
```
Sm2Dy2CI4Cl
1.0
9.6955 -1.9718 0.0000
9.6955 1.9718 0.0000
-1.7135 0.0000 8.1025
Sm Dy C I Cl
2 2 1 4 1
Cartesian
-0.4689 0.0000 2.3660
18.1465 0.0000 5.7365
6.4947 0.0000 3.5149
11.1828 0.0000 4.5877
8.8388 0.0000 4.0513
1.7040 0.0000 6.8937
2.7377 0.0000 2.6026
14.9398 0.0000 5.4999
15.9735 0.0000 1.2089
9.6955 0.0000 0.0000
```


The following is a DFT calculation (PBE-GGA) of a geometry-optimized NaSrGdSe3 structure.

Values from the calculation:
- Size of the total moment: 0.017 μB/cell
- Energy above the most stable polymorph in this dataset: 0.118 eV per atom
- Space group: No. 62

Structure (POSCAR):
```
NaSrGdSe3
1.0
14.1993 0.0000 0.0000
0.0000 4.3065 0.0000
0.0000 0.0000 11.1949
Na Sr Gd Se
4 4 4 12
Cartesian
0.0894 1.0766 1.0011
7.0103 3.2299 6.5986
7.1891 1.0766 4.5964
14.1099 3.2299 10.1938
3.4382 3.2299 0.0209
3.6614 1.0766 5.6183
10.5379 3.2299 5.5766
10.7611 1.0766 11.1741
0.2309 3.2299 3.7732
6.8688 1.0766 9.3706
7.3306 3.2299 1.8243
13.9684 1.0766 7.4218
1.4993 3.2299 6.3572
1.6145 1.0766 9.7843
2.0008 1.0766 2.9254
5.0989 3.2299 8.5229
5.4852 3.2299 4.1868
5.6004 1.0766 0.7597
8.5990 3.2299 10.4352
8.7141 1.0766 7.0081
9.1005 1.0766 2.6721
12.1985 3.2299 8.2695
12.5849 3.2299 1.4107
12.7000 1.0766 4.8378
```


The following is a DFT calculation (PBE-GGA) of a geometry-optimized Li2ReSi structure.

Values from the calculation:
- Size of the total moment: 0.004 μB/cell
- Space group: No. 216

Structure (POSCAR):
```
Li2ReSi
1.0
0.0000 2.9247 2.9247
2.9247 0.0000 2.9247
2.9247 2.9247 0.0000
Li Re Si
2 1 1
Cartesian
0.0000 0.0000 0.0000
1.4624 1.4624 1.4624
4.3871 4.3871 4.3871
2.9247 2.9247 2.9247
```


The records above yield E values of -4.981, -4.645, -1.582, -4.823, -4.127, -4.811, -8.557, -4.710, -7.709, -4.796, -4.661, -5.359 eV per atom, respectively.